The following is a DFT calculation (PBE) of VRu2Rh4 after structural relaxation.

## Properties
Magnetization in μB/cell: 1.00
Calculated formation energy in eV per atom: 0.08

The structure in CIF format:
```
data_VRu2Rh4
_chemical_formula_sum 'V2 Ru4 Rh8'
_cell_length_a 7.354
_cell_length_b 5.397
_cell_length_c 5.363
_cell_angle_alpha 90.00
_cell_angle_beta 90.07
_cell_angle_gamma 90.00
_space_group_name_H-M_alt 'C 1 2/m 1'
_space_group_IT_number 12
loop_
_space_group_symop_operation_xyz
'x,y,z'
'-x,-y,-z'
'-x,y,-z'
'x,-y,z'
'x+1/2,y+1/2,z'
'-x+1/2,-y+1/2,-z'
'-x+1/2,y+1/2,-z'
'x+1/2,-y+1/2,z'
loop_
_atom_site_label
_atom_site_type_symbol
_atom_site_fract_x
_atom_site_fract_y
_atom_site_fract_z
V1 V 0.000 0.000 0.000
Ru1 Ru 0.000 0.500 0.000
Ru2 Ru 0.000 0.500 0.500
Rh1 Rh 0.250 0.250 0.255
```